## Er2GaCu4Si3 (PBE-GGA)

Data for Er2GaCu4Si3 after structural relaxation.

abc: 3.9786 3.9786 10.0435
angles: 90.00 90.00 90.00
With the nearest neighbours (Å) after each atom.
Positions (direct):
1 Si 0.5000 0.0000 0.8689  5 Cu 2.30-2.39
2 Si 0.0000 0.5000 0.1311  5 Cu 2.30-2.39
3 Si 0.0000 0.0000 0.5000  4 Cu 2.43
4 Cu 0.5000 0.5000 0.0000  4 Si 2.39
5 Cu 0.0000 0.0000 0.0000  4 Si 2.39
6 Cu 0.5000 0.0000 0.6398  3 Si 2.30-2.43, 2 Ga 2.43
7 Cu 0.0000 0.5000 0.3602  3 Si 2.30-2.43, 2 Ga 2.43
8 Er 0.5000 0.0000 0.2414  6 Si 3.02-3.27, 8 Cu 3.06-3.14, 2 Ga 3.27
9 Er 0.0000 0.5000 0.7586  6 Si 3.02-3.27, 8 Cu 3.06-3.14, 2 Ga 3.27
10 Ga 0.5000 0.5000 0.5000  4 Cu 2.43

Calculated total energy, eV/f.u.: -50.02
Symmetry: P-4m2 (115)
Calculated density, g cm⁻³: 7.8

## Y4AgPb (PBE-GGA)

Data for Y4AgPb after structural relaxation.

abc: 6.3307 6.3307 6.3307
angles: 60.00 60.00 60.00
With the nearest neighbours (Å) after each atom.
Positions (direct):
1 Y 0.3745 0.8766 0.3745  6 Y 3.15-3.18
2 Y 0.8766 0.3745 0.3745  6 Y 3.15-3.18
3 Y 0.3745 0.3745 0.8766  6 Y 3.15-3.18
4 Y 0.3745 0.3745 0.3745  6 Y 3.15-3.18
5 Pb 0.0000 0.0000 0.0000  12 Y 3.71, 4 Ag 3.88
6 Ag 0.7500 0.7500 0.7500  12 Y 3.71, 4 Pb 3.88

Energy of formation, eV per atom: 0.292
Calculated total energy, eV/f.u.: -30.66
Symmetry: F-43m (216)
Calculated density, g cm⁻³: 6.2

## Cu2HgRh2 (PBE-GGA)

Data for Cu2HgRh2 after structural relaxation.

abc: 3.5103 3.5103 6.9116
angles: 75.29 75.29 90.00
With the nearest neighbours (Å) after each atom.
Positions (direct):
1 Rh 0.3939 0.3939 0.2122  4 Cu 2.55, 1 Rh 2.74, 4 Hg 2.83
2 Rh 0.6061 0.6061 0.7878  4 Cu 2.55, 1 Rh 2.74, 4 Hg 2.83
3 Hg 0.0000 0.0000 0.0000  8 Rh 2.83
4 Cu 0.2500 0.7500 0.5000  4 Cu 2.48, 4 Rh 2.55
5 Cu 0.7500 0.2500 0.5000  4 Cu 2.48, 4 Rh 2.55

Energy of formation, eV per atom: 0.343
Calculated total energy, eV/f.u.: -21.48
Symmetry: I4/mmm (139)
Energy above the most stable polymorph in this dataset, eV per atom: 0.114
Calculated density, g cm⁻³: 11.1

## Re2TcS5 (PBE-GGA)

Data for Re2TcS5 after structural relaxation.

abc: 5.2359 6.0659 6.7943
angles: 63.49 65.13 90.00
With the nearest neighbours (Å) after each atom.
Positions (direct):
1 S 0.5949 0.5970 0.3090  1 Tc 2.33, 2 Re 2.36-2.39
2 S 0.2878 0.7854 0.9295  1 Tc 2.32, 2 Re 2.38
3 S 0.2878 0.2851 0.9295  1 Tc 2.32, 2 Re 2.38
4 S 0.5949 0.0940 0.3090  1 Tc 2.33, 2 Re 2.36-2.39
5 S 0.9312 0.1923 0.6153  2 Re 2.21
6 Re 0.9693 0.3813 0.2375  5 S 2.21-2.38
7 Re 0.5862 0.9964 0.0072  5 S 2.21-2.39
8 Tc 0.9708 0.8915 0.2170  4 S 2.32-2.33

Calculated total energy, eV/f.u.: -56.05
Symmetry: Cm (8)
Calculated density, g cm⁻³: 6.1

## SmHo2Ag3 (PBE-GGA)

Data for SmHo2Ag3 after structural relaxation.

abc: 3.6279 3.6279 11.0712
angles: 90.00 90.00 90.00
With the nearest neighbours (Å) after each atom.
Positions (direct):
1 Ag 0.0000 0.0000 0.6769  4 Ho 3.12, 4 Sm 3.23
2 Ag 0.0000 0.0000 0.0000  8 Ho 3.14
3 Ag 0.0000 0.0000 0.3231  4 Ho 3.12, 4 Sm 3.23
4 Sm 0.5000 0.5000 0.5000  8 Ag 3.23
5 Ho 0.5000 0.5000 0.8365  8 Ag 3.12-3.14
6 Ho 0.5000 0.5000 0.1635  8 Ag 3.12-3.14

Energy of formation, eV per atom: -0.314
Calculated total energy, eV/f.u.: -24.31
Symmetry: P4/mmm (123)
Calculated density, g cm⁻³: 9.2

## TlH3F (PBE-GGA)

Data for TlH3F after structural relaxation.

abc: 3.7437 3.7437 3.7437
angles: 90.00 90.00 90.00
With the nearest neighbours (Å) after each atom.
Positions (direct):
1 H 0.5000 0.0000 0.0000  2 Tl 1.87
2 H 0.0000 0.5000 0.0000  2 Tl 1.87
3 H 0.0000 0.0000 0.5000  2 Tl 1.87
4 Tl 0.0000 0.0000 0.0000  6 H 1.87
5 F 0.5000 0.5000 0.5000  12 H 2.65

Calculated total energy, eV/f.u.: -13.11
Symmetry: Pm-3m (221)
Energy above the most stable polymorph in this dataset, eV per atom: 0.000
Calculated density, g cm⁻³: 7.2